No. 1
Here is a relaxed LiLa2PdAu6 crystal from Alexandria via LeMat-Bulk. Energies are from PBE.

Values from the calculation:
- N(E_F): 0.5415 states/eV/atom
- Energy of formation from the pure elements: -0.53 eV per atom
- VASP energy: -4.19 eV/atom
- ρ: 11.58 g/cm3

a = 5.4150 Å, b = 6.7644 Å, c = 7.2405 Å
α = 80.45°, β = 68.07°, γ = 66.47°
Space group P-1 (No. 2)
Asymmetric unit:
Li 0.0000 0.0000 0.0000 x1
La 0.2234 0.2487 0.3027 x2
Pd 0.5000 0.5000 0.5000 x1
Au 0.2217 0.7915 0.2618 x2
Au 0.2513 0.5877 0.9108 x2
Au 0.2766 0.2077 0.7386 x2

=====

No. 2
Here is a relaxed LiLaH8Pd4 crystal from Alexandria via LeMat-Bulk. Energies are from PBE.

Values from the calculation:
- N(E_F): 0.3718 states/eV/atom
- VASP energy: -4.13 eV/atom
- ρ: 6.95 g/cm3

a = 5.9372 Å, b = 5.9372 Å, c = 13.6009 Å
α = 90.00°, β = 90.00°, γ = 120.00°
Space group R3m (No. 160, hexagonal axes)
Asymmetric unit:
Li 0.0000 0.0000 0.0000 x3
La 0.0000 0.0000 0.3899 x3
H 0.0000 0.0000 0.2185 x3
H 0.0000 0.0000 0.7647 x3
H 0.0821 0.5410 0.7674 x9
H 0.1713 0.3425 0.5722 x9
Pd 0.0000 0.0000 0.6293 x3
Pd 0.0047 0.5023 0.5052 x9

=====

No. 3
Here is a relaxed TbEr3Tm2Te6 crystal from Alexandria via LeMat-Bulk. Energies are from PBE.

Values from the calculation:
- ΔE_f (raw): -1.21 eV per atom
- N(E_F): 0.5405 states/eV/atom
- VASP energy: -5.06 eV/atom
- ρ: 8.56 g/cm3

a = 18.8636 Å, b = 4.3000 Å, c = 8.6826 Å
α = 90.00°, β = 103.61°, γ = 90.00°
Space group C2/m (No. 12)
Asymmetric unit:
Tb 0.0000 0.0000 0.0000 x2
Er 0.0000 0.0000 0.5000 x2
Er 0.1632 0.5000 0.8329 x4
Tm 0.1643 0.5000 0.3297 x4
Te 0.0009 0.5000 0.2540 x4
Te 0.1682 0.0000 0.5823 x4
Te 0.1694 0.0000 0.0855 x4